(1)
Material: PrEr2F
Method: DFT, PBE
State: relaxed

Summary:
Crystal system: trigonal
Total energy in eV/atom: -4.82

Geometry as POSCAR:
```
PrEr2F
1.0
1.800 1.039 9.400
-1.800 1.039 9.400
0.000 -2.079 9.400
Pr Er F
1 2 1
Direct
0.000 0.000 0.000
0.119 0.119 0.119
0.881 0.881 0.881
0.500 0.500 0.500
```


(2)
Material: Na4B7C
Method: DFT, PBE
State: relaxed

Summary:
Crystal system: orthorhombic
Energy above the lowest structure with this stoichiometry in kJ/mol of formula units: 15
Total energy in eV/atom: -4.87
Energy of formation from the pure elements in eV per atom: 0.235

Geometry as POSCAR:
```
Na4B7C
1.0
-1.416 8.682 2.685
1.416 -8.682 2.685
1.416 8.682 -2.685
Na B C
4 7 1
Direct
0.125 0.000 0.125
0.376 0.001 0.374
0.627 0.001 0.626
0.875 0.000 0.875
0.095 0.345 0.749
0.153 0.653 0.500
0.366 0.366 0.000
0.406 0.656 0.750
0.596 0.345 0.251
0.819 0.319 0.500
0.906 0.656 0.250
0.662 0.662 0.000
```


(3)
Material: PmCdSb2
Method: DFT, PBE
State: relaxed

Summary:
Crystal system: cubic
Energy above the lowest structure with this stoichiometry in kJ/mol of formula units: 105
Total energy in eV/atom: -3.78

Geometry as POSCAR:
```
PmCdSb2
1.0
0.000 3.808 3.808
3.808 0.000 3.808
3.808 3.808 0.000
Pm Cd Sb
1 1 2
Direct
0.000 0.000 0.000
0.500 0.500 0.500
0.250 0.250 0.250
0.750 0.750 0.750
```


(4)
Material: Ba2PtRh
Method: DFT, PBE
State: relaxed

Summary:
Crystal system: cubic
Total energy in eV/atom: -4.28
Energy of formation from the pure elements in eV per atom: 0.026

Geometry as POSCAR:
```
Ba2PtRh
1.0
0.000 3.735 3.735
3.735 0.000 3.735
3.735 3.735 0.000
Ba Pt Rh
2 1 1
Direct
0.000 0.000 0.000
0.250 0.250 0.250
0.500 0.500 0.500
0.750 0.750 0.750
```


(5)
Material: PmSmCoSn
Method: DFT, PBE
State: relaxed

Summary:
Crystal system: cubic
Total energy in eV/atom: -5.40
Energy of formation from the pure elements in eV per atom: -0.257

Geometry as POSCAR:
```
PmSmCoSn
1.0
0.000 3.688 3.688
3.688 0.000 3.688
3.688 3.688 0.000
Pm Sm Co Sn
1 1 1 1
Direct
0.000 0.000 0.000
0.500 0.500 0.500
0.250 0.250 0.250
0.750 0.750 0.750
```


(6)
Material: Rb2Be2SbO6
Method: DFT, PBE
State: relaxed

Summary:
Crystal system: trigonal
Total energy in eV/atom: -5.71

Geometry as POSCAR:
```
Rb2Be2SbO6
1.0
5.446 0.000 0.000
-2.723 4.716 0.000
0.000 0.000 6.781
Rb Be Sb O
2 2 1 6
Direct
0.333 0.667 0.346
0.667 0.333 0.654
0.333 0.667 0.848
0.667 0.333 0.152
0.000 0.000 0.000
0.171 0.342 0.826
0.171 0.829 0.826
0.342 0.171 0.174
0.658 0.829 0.826
0.829 0.171 0.174
0.829 0.658 0.174
```


(7)
Material: Tm4Sc5Pb2
Method: DFT, PBE
State: relaxed

Summary:
Crystal system: trigonal
Total energy in eV/atom: -4.97
Energy of formation from the pure elements in eV per atom: 0.211

Geometry as POSCAR:
```
Tm4Sc5Pb2
1.0
2.510 1.449 14.976
-2.510 1.449 14.976
0.000 -2.898 14.976
Tm Sc Pb
4 5 2
Direct
0.072 0.072 0.072
0.224 0.224 0.224
0.776 0.776 0.776
0.928 0.928 0.928
0.000 0.000 0.000
0.148 0.148 0.148
0.305 0.305 0.305
0.695 0.695 0.695
0.852 0.852 0.852
0.376 0.376 0.376
0.624 0.624 0.624
```


(8)
Material: YIn2Pt
Method: DFT, PBE
State: relaxed

Summary:
Crystal system: orthorhombic
Total energy in eV/atom: -5.02
Energy of formation from the pure elements in eV per atom: -0.525

Geometry as POSCAR:
```
YIn2Pt
1.0
-1.699 2.621 5.130
1.699 -2.621 5.130
1.699 2.621 -5.130
Y In Pt
1 2 1
Direct
0.000 0.000 0.000
0.280 0.780 0.500
0.720 0.220 0.500
0.500 0.500 0.000
```


(9)
Material: LiDyGa4Pd2
Method: DFT, PBE
State: relaxed

Summary:
Crystal system: trigonal
Total energy in eV/atom: -4.24
Energy of formation from the pure elements in eV per atom: -0.614

Geometry as POSCAR:
```
LiDyGa4Pd2
1.0
2.154 1.243 8.461
-2.154 1.243 8.461
0.000 -2.487 8.461
Li Dy Ga Pd
1 1 4 2
Direct
0.000 0.000 0.000
0.500 0.500 0.500
0.103 0.103 0.103
0.371 0.371 0.371
0.629 0.629 0.629
0.897 0.897 0.897
0.264 0.264 0.264
0.736 0.736 0.736
```


(10)
Material: TlVP
Method: DFT, PBE
State: relaxed

Summary:
Crystal system: tetragonal
Total energy in eV/atom: -5.88
Energy of formation from the pure elements in eV per atom: -0.247

Geometry as POSCAR:
```
TlVP
1.0
3.781 0.000 0.000
0.000 3.781 0.000
0.000 0.000 9.303
Tl V P
2 2 2
Direct
0.250 0.250 0.166
0.750 0.750 0.834
0.250 0.750 0.500
0.750 0.250 0.500
0.250 0.250 0.659
0.750 0.750 0.341
```


(11)
Material: NdSm7Ho2
Method: DFT, PBE
State: relaxed

Summary:
Crystal system: orthorhombic
Energy above the lowest structure with this stoichiometry in kJ/mol of formula units: 619
Total energy in eV/atom: -4.04
Energy of formation from the pure elements in eV per atom: 0.659

Geometry as POSCAR:
```
NdSm7Ho2
1.0
4.441 -8.055 0.000
4.441 8.055 0.000
0.000 0.000 5.714
Nd Sm Ho
1 7 2
Direct
0.000 0.000 0.000
0.062 0.295 0.500
0.225 0.775 0.000
0.295 0.062 0.500
0.500 0.500 0.500
0.705 0.938 0.500
0.775 0.225 0.000
0.938 0.705 0.500
0.296 0.704 0.500
0.704 0.296 0.500
```


(12)
Material: HfCoAs2Ir
Method: DFT, PBE
State: relaxed

Summary:
Crystal system: tetragonal
Total energy in eV/atom: -6.16
Energy of formation from the pure elements in eV per atom: 0.884

Geometry as POSCAR:
```
HfCoAs2Ir
1.0
4.688 0.000 0.000
0.000 4.688 0.000
0.000 0.000 5.153
Hf Co As Ir
1 1 2 1
Direct
0.000 0.000 0.000
0.500 0.500 0.000
0.000 0.500 0.500
0.500 0.000 0.500
0.000 0.000 0.500
```